(1)
DyPuAsP, relaxed, DFT GGA-PBE; calculated formation energy = -1313 meV/atom; space group = P4/mmm, No. 123
1.0
4.056 0.000 0.000
0.000 4.056 0.000
0.000 0.000 5.749
Dy Pu As P
1 1 1 1
direct
0.000 0.000 0.000
0.500 0.500 0.500
0.500 0.500 0.000
0.000 0.000 0.500

***

(2)
DyAsP2Rh5, relaxed, DFT GGA-PBE; calculated formation energy = -716 meV/atom; space group = P4/mmm, No. 123
1.0
3.981 0.000 0.000
0.000 3.981 0.000
0.000 0.000 9.956
Dy As P Rh
1 1 2 5
direct
0.000 0.000 0.000
0.000 0.000 0.500
0.500 0.500 0.227
0.500 0.500 0.773
0.000 0.500 0.344
0.000 0.500 0.656
0.500 0.000 0.344
0.500 0.000 0.656
0.500 0.500 0.000